Entry 1:
Computed, not measured: a relaxed structure of Cu2PtCl at the PBE level of DFT.

Computed properties:
The magnetic moment is 0.00 μB/f.u. The space group is No. 65. For the energy relative to the elements, uncorrected, the calculation gives 0.065 eV/atom.

abc: 2.937 2.937 7.302
angles: 90.00 90.00 107.20
Element x y z (fractional)
Cu  0.000  0.000  0.247
Cu  0.000  0.000  0.753
Pt  0.500  0.500  0.500
Cl  0.500  0.500  0.000

=====

Entry 2:
Computed, not measured: a relaxed structure of CeSm2Er3As6 at the PBE level of DFT.

Computed properties:
The magnetic moment is 0.53 μB/f.u. The space group is No. 12. The value obtained for the formation energy is -18.1 eV/f.u.

abc: 9.263 9.263 8.294
angles: 102.82 102.82 25.91
Element x y z (fractional)
Ce  0.000  0.000  0.000
Sm  0.333  0.333  0.665
Sm  0.667  0.667  0.335
Er  0.000  0.000  0.500
Er  0.333  0.333  0.167
Er  0.667  0.667  0.833
As  0.165  0.165  0.588
As  0.167  0.167  0.078
As  0.498  0.498  0.253
As  0.502  0.502  0.747
As  0.833  0.833  0.922
As  0.835  0.835  0.412

=====

Here are the calculated uncorrected energy numbers, same order: -3.95; -6.25 (eV/atom).